Entry 1:
A geometry-optimized DyMg3Ag structure, computed with GGA-PBE.

The structure in POSCAR format:
```
DyMg3Ag
1.0
9.430 0.000 0.000
0.000 3.926 0.000
0.000 0.000 12.804
Dy Mg Ag
4 12 4
Direct
0.164 0.250 0.006 Dy
0.336 0.750 0.506 Dy
0.664 0.250 0.494 Dy
0.836 0.750 0.994 Dy
0.063 0.250 0.415 Mg
0.090 0.750 0.220 Mg
0.158 0.750 0.791 Mg
0.342 0.250 0.291 Mg
0.410 0.250 0.720 Mg
0.437 0.750 0.915 Mg
0.563 0.250 0.085 Mg
0.590 0.750 0.280 Mg
0.658 0.750 0.709 Mg
0.842 0.250 0.209 Mg
0.910 0.250 0.780 Mg
0.937 0.750 0.585 Mg
0.143 0.250 0.629 Ag
0.357 0.750 0.129 Ag
0.643 0.250 0.871 Ag
0.857 0.750 0.371 Ag
```

- Distance to the lowest polymorph of the same formula: 16.7 meV/atom
- Crystal system: orthorhombic
- Symmetry: Pnma (62)



Entry 2:
A geometry-optimized DyMg3Ag3 structure, computed with GGA-PBE.

The structure in POSCAR format:
```
DyMg3Ag3
1.0
7.219 0.000 0.000
0.000 7.219 0.000
0.000 0.000 7.219
Dy Mg Ag
2 6 6
Direct
0.000 0.000 0.000 Dy
0.500 0.500 0.500 Dy
0.000 0.250 0.500 Mg
0.000 0.750 0.500 Mg
0.250 0.500 0.000 Mg
0.500 0.000 0.250 Mg
0.500 0.000 0.750 Mg
0.750 0.500 0.000 Mg
0.000 0.500 0.250 Ag
0.000 0.500 0.750 Ag
0.250 0.000 0.500 Ag
0.500 0.250 0.000 Ag
0.500 0.750 0.000 Ag
0.750 0.000 0.500 Ag
```

- Energy: -2.214 eV/atom
- Crystal system: cubic
- Symmetry: Pm-3n (223)



Entry 3:
A geometry-optimized DyMg2Ag structure, computed with GGA-PBE.

The structure in POSCAR format:
```
DyMg2Ag
1.0
3.414 0.000 0.000
0.000 3.414 0.000
0.000 0.000 7.907
Dy Mg Ag
1 2 1
Direct
0.000 0.000 0.000 Dy
0.500 0.500 0.297 Mg
0.500 0.500 0.703 Mg
0.000 0.000 0.500 Ag
```

- Energy: -2.789 eV/atom
- Crystal system: tetragonal
- Symmetry: P4/mmm (123)



Entry 4:
A geometry-optimized Dy12Mg5Ag3 structure, computed with GGA-PBE.

The structure in POSCAR format:
```
Dy12Mg5Ag3
1.0
-8.872 8.872 8.872
8.872 -8.872 8.872
8.872 8.872 -8.872
Dy Mg Ag
48 20 12
Direct
0.065 0.637 0.407 Dy
0.065 0.928 0.658 Dy
0.072 0.230 0.137 Dy
0.072 0.342 0.935 Dy
0.093 0.730 0.658 Dy
0.093 0.863 0.435 Dy
0.137 0.072 0.230 Dy
0.137 0.565 0.907 Dy
0.158 0.230 0.593 Dy
0.158 0.428 0.565 Dy
0.230 0.137 0.072 Dy
0.230 0.593 0.158 Dy
0.270 0.342 0.907 Dy
0.270 0.428 0.363 Dy
0.342 0.907 0.270 Dy
0.342 0.935 0.072 Dy
0.363 0.270 0.428 Dy
0.363 0.593 0.935 Dy
0.407 0.065 0.637 Dy
0.407 0.842 0.770 Dy
0.428 0.363 0.270 Dy
0.428 0.565 0.158 Dy
0.435 0.093 0.863 Dy
0.435 0.842 0.572 Dy
0.565 0.158 0.428 Dy
0.565 0.907 0.137 Dy
0.572 0.435 0.842 Dy
0.572 0.637 0.730 Dy
0.593 0.158 0.230 Dy
0.593 0.935 0.363 Dy
0.637 0.407 0.065 Dy
0.637 0.730 0.572 Dy
0.658 0.065 0.928 Dy
0.658 0.093 0.730 Dy
0.730 0.572 0.637 Dy
0.730 0.658 0.093 Dy
0.770 0.407 0.842 Dy
0.770 0.863 0.928 Dy
0.842 0.572 0.435 Dy
0.842 0.770 0.407 Dy
0.863 0.435 0.093 Dy
0.863 0.928 0.770 Dy
0.907 0.137 0.565 Dy
0.907 0.270 0.342 Dy
0.928 0.658 0.065 Dy
0.928 0.770 0.863 Dy
0.935 0.072 0.342 Dy
0.935 0.363 0.593 Dy
0.000 0.000 0.000 Mg
0.000 0.000 0.500 Mg
0.000 0.500 0.000 Mg
0.000 0.500 0.500 Mg
0.125 0.750 0.875 Mg
0.125 0.875 0.250 Mg
0.250 0.125 0.875 Mg
0.250 0.625 0.375 Mg
0.375 0.250 0.625 Mg
0.375 0.625 0.750 Mg
0.500 0.000 0.000 Mg
0.500 0.000 0.500 Mg
0.500 0.500 0.000 Mg
0.500 0.500 0.500 Mg
0.625 0.375 0.250 Mg
0.625 0.750 0.375 Mg
0.750 0.375 0.625 Mg
0.750 0.875 0.125 Mg
0.875 0.125 0.750 Mg
0.875 0.250 0.125 Mg
0.125 0.250 0.375 Ag
0.125 0.375 0.750 Ag
0.250 0.375 0.125 Ag
0.250 0.875 0.625 Ag
0.375 0.125 0.250 Ag
0.375 0.750 0.125 Ag
0.625 0.250 0.875 Ag
0.625 0.875 0.750 Ag
0.750 0.125 0.375 Ag
0.750 0.625 0.875 Ag
0.875 0.625 0.250 Ag
0.875 0.750 0.625 Ag
```

- Energy: -3.033 eV/atom
- Crystal system: cubic
- Symmetry: Ia-3d (230)



Entry 5:
A geometry-optimized DyMg4Ag structure, computed with GGA-PBE.

The structure in POSCAR format:
```
DyMg4Ag
1.0
8.980 0.000 0.000
0.000 3.997 0.000
0.000 0.000 7.819
Dy Mg Ag
2 8 2
Direct
0.250 0.000 0.102 Dy
0.750 0.000 0.898 Dy
0.000 0.000 0.500 Mg
0.049 0.500 0.814 Mg
0.250 0.500 0.435 Mg
0.451 0.500 0.814 Mg
0.500 0.000 0.500 Mg
0.549 0.500 0.186 Mg
0.750 0.500 0.565 Mg
0.951 0.500 0.186 Mg
0.250 0.000 0.706 Ag
0.750 0.000 0.294 Ag
```

- Distance to the lowest polymorph of the same formula: 0.0 meV/atom
- Crystal system: orthorhombic
- Symmetry: Pmma (51)



Entry 6:
A geometry-optimized DyMg9Ag2 structure, computed with GGA-PBE.

The structure in POSCAR format:
```
DyMg9Ag2
1.0
-5.960 5.960 3.778
5.960 -5.960 3.778
5.960 5.960 -3.778
Dy Mg Ag
2 18 4
Direct
0.375 0.625 0.750 Dy
0.625 0.375 0.250 Dy
0.125 0.875 0.250 Mg
0.129 0.559 0.327 Mg
0.129 0.801 0.570 Mg
0.199 0.269 0.327 Mg
0.199 0.871 0.930 Mg
0.269 0.199 0.827 Mg
0.269 0.441 0.070 Mg
0.441 0.269 0.570 Mg
0.441 0.871 0.173 Mg
0.559 0.129 0.827 Mg
0.559 0.731 0.430 Mg
0.731 0.559 0.930 Mg
0.731 0.801 0.173 Mg
0.801 0.129 0.070 Mg
0.801 0.731 0.673 Mg
0.871 0.199 0.430 Mg
0.871 0.441 0.673 Mg
0.875 0.125 0.750 Mg
0.000 0.000 0.000 Ag
0.000 0.000 0.500 Ag
0.000 0.500 0.000 Ag
0.500 0.000 0.500 Ag
```

- Energy: -2.148 eV/atom
- Crystal system: tetragonal
- Symmetry: I4_1/amd (141)



Entry 7:
A geometry-optimized DyMg6Ag6 structure, computed with GGA-PBE.

The structure in POSCAR format:
```
DyMg6Ag6
1.0
-2.816 4.743 4.952
2.816 -4.743 4.952
2.816 4.743 -4.952
Dy Mg Ag
1 6 6
Direct
0.000 0.000 0.000 Dy
0.190 0.690 0.500 Mg
0.341 0.000 0.341 Mg
0.346 0.346 0.000 Mg
0.654 0.654 0.000 Mg
0.659 0.000 0.659 Mg
0.810 0.310 0.500 Mg
0.000 0.000 0.500 Ag
0.000 0.500 0.000 Ag
0.224 0.500 0.724 Ag
0.500 0.000 0.000 Ag
0.500 0.500 0.500 Ag
0.776 0.500 0.276 Ag
```

- Energy: -2.586 eV/atom
- Crystal system: orthorhombic
- Symmetry: Immm (71)



Entry 8:
A geometry-optimized Dy2Mg2Ag structure, computed with GGA-PBE.

The structure in POSCAR format:
```
Dy2Mg2Ag
1.0
-1.787 1.809 9.819
1.787 -1.809 9.819
1.787 1.809 -9.819
Dy Mg Ag
2 2 1
Direct
0.092 0.092 0.000 Dy
0.908 0.908 0.000 Dy
0.295 0.295 0.000 Mg
0.705 0.705 0.000 Mg
0.500 0.500 0.000 Ag
```

- Energy: -3.194 eV/atom
- Crystal system: orthorhombic
- Symmetry: Immm (71)